(1)
Material: ScCo2P
Method: DFT, PBE-GGA
State: relaxed

Values from the calculation:
Symmetry: P4/mmm

Lattice parameters (Å, degrees): 3.8122 3.8122 3.4542 90.00 90.00 90.00
Positions (direct):
Sc (0.0000, 0.0000, 0.0000)
Co (0.0000, 0.5000, 0.5000)
Co (0.5000, 0.0000, 0.5000)
P (0.5000, 0.5000, 0.0000)

***

(2)
Material: ScCo2P
Method: DFT, PBE-GGA
State: relaxed

Values from the calculation:
Symmetry: P4/mmm

Lattice parameters (Å, degrees): 3.0607 3.0607 5.5195 90.00 90.00 90.00
Positions (direct):
Sc (0.0000, 0.0000, 0.0000)
Co (0.5000, 0.5000, 0.2836)
Co (0.5000, 0.5000, 0.7164)
P (0.0000, 0.0000, 0.5000)

***

E_tot: -6.929 -6.816 (eV per atom)